Record 1
DFT (GGA-PBE) results for PIrAu2 after structural relaxation.

Unit cell a=4.864 b=4.864 c=4.864 alpha=130.34 beta=130.34 gamma=72.86
Element x y z (fractional)
Au  0.000  0.000  0.000
Au  0.250  0.750  0.500
Ir  0.500  0.500  0.000
P  0.750  0.250  0.500

## Properties
Space-group type: I-4m2, No. 119
Formation energy, eV per atom: 0.478

Record 2
DFT (GGA-PBE) results for Mg3H2Ir3 after structural relaxation.

Unit cell a=3.213 b=4.506 c=7.307 alpha=69.72 beta=90.00 gamma=90.00
Element x y z (fractional)
Mg  0.795  0.488  0.821
Mg  0.795  0.818  0.132
Mg  0.795  0.149  0.443
H  0.794  0.095  0.730
H  0.794  0.542  0.534
Ir  0.295  0.318  0.132
Ir  0.295  0.648  0.466
Ir  0.295  0.989  0.798

## Properties
Space-group type: P2/m, No. 10
Offset from the most stable computed form, meV/atom: 53

Record 3
DFT (GGA-PBE) results for Li2CaCu2As2 after structural relaxation.

Unit cell a=4.184 b=4.184 c=8.268 alpha=75.34 beta=75.34 gamma=60.00
Element x y z (fractional)
Li  0.138  0.138  0.586
Li  0.862  0.862  0.414
Ca  0.000  0.000  0.000
Cu  0.575  0.575  0.274
Cu  0.425  0.425  0.726
As  0.750  0.750  0.751
As  0.250  0.250  0.249

## Properties
Space-group type: R-3m, No. 166
Formation energy, eV per atom: -0.659

Record 4
DFT (GGA-PBE) results for Pu2AuS after structural relaxation.

Unit cell a=3.965 b=3.965 c=7.684 alpha=75.05 beta=75.05 gamma=60.00
Each line ends with the local moment (μB).
Element x y z (fractional)
S  0.000  0.000  0.000  -0.12
Au  0.500  0.500  0.500  0.06
Pu  0.742  0.742  0.773  5.50
Pu  0.258  0.258  0.227  5.50

## Properties
Space-group type: R-3m, No. 166
E_form (uncorrected), eV/atom: -0.897
Offset from the most stable computed form, meV/atom: 0

Record 5
DFT (GGA-PBE) results for CoRu after structural relaxation.

Unit cell a=3.640 b=3.640 c=4.535 alpha=66.34 beta=66.34 gamma=90.00
Each line ends with the local moment (μB).
Element x y z (fractional)
Co  0.000  0.000  0.000  1.12
Co  0.250  0.750  0.500  1.12
Ru  0.500  0.500  0.000  0.04
Ru  0.750  0.250  0.500  0.04

## Properties
Space-group type: I4_1/amd, No. 141
Formation energy, eV per atom: 0.140

Record 6
DFT (GGA-PBE) results for Cr3CdW after structural relaxation.

Unit cell a=4.846 b=4.846 c=4.846 alpha=90.00 beta=90.00 gamma=90.00
Each line ends with the local moment (μB).
Element x y z (fractional)
Cr  0.000  0.500  0.000  3.68
Cr  0.000  0.000  0.500  3.72
Cr  0.500  0.000  0.000  3.30
W  0.500  0.500  0.500  -2.65
Cd  0.000  0.000  0.000  0.11

## Properties
Space-group type: Pm-3m, No. 221
Formation energy, eV per atom: 2.268
Offset from the most stable computed form, meV/atom: 877